This record from Alexandria via LeMat-Bulk describes crystalline KGdZrTiO6 at its relaxed geometry. The functional is PBE.

The formation energy (no corrections) comes out at -66.61 kcal/mol of atoms. Its total magnetization is 6.99 μB/f.u.

The space group is F-43m (No. 216) and the conventional cell measures 8.072, 8.072 and 8.072 Å, with angles of 90.00, 90.00 and 90.00 degrees. The inequivalent atoms are K at (0.000, 0.000, 0.000), Gd at (0.000, 0.000, 0.500), Zr at (0.250, 0.250, 0.250), Ti at (0.250, 0.250, 0.750) and O at (0.008, 0.250, 0.750).